(1)
! TlTe2PbAu PBE-GGA relaxed; values from VASP
&SYSTEM
  ibrav = 0, nat = 10, ntyp = 4
/
ATOMIC_SPECIES
Pb 207.20 Pb.upf
Au 196.97 Au.upf
Tl 204.38 Tl.upf
Te 127.60 Te.upf
CELL_PARAMETERS angstrom
-2.659 3.021 3.645
2.781 -4.794 6.001
5.567 6.467 -1.300
ATOMIC_POSITIONS crystal
Pb 0.400 0.000 0.250
Au 0.000 0.000 0.500
Pb 0.600 0.000 0.750
Tl 0.803 0.500 0.250
Te 0.282 0.268 0.019
Te 0.282 0.732 0.481
Tl 0.197 0.500 0.750
Te 0.718 0.268 0.519
Au 0.000 0.000 0.000
Te 0.718 0.732 0.981
! formation energy (no corrections) = -24.3 kJ/mol of atoms
! volume = 36.133 Å³ per atom
! E_tot = -33.8 eV/cell

***

(2)
! CaAc2Ag6 PBE-GGA relaxed; values from VASP
&SYSTEM
  ibrav = 0, nat = 9, ntyp = 3
/
ATOMIC_SPECIES
Ag 107.87 Ag.upf
Ca 40.08 Ca.upf
Ac 227.00 Ac.upf
CELL_PARAMETERS angstrom
3.937 0.000 0.000
1.969 8.576 1.319
1.969 3.726 7.836
ATOMIC_POSITIONS crystal
Ag 0.169 0.156 0.506
Ag 0.000 0.187 0.813
Ag 0.831 0.494 0.844
Ag 0.000 0.813 0.187
Ca 0.500 0.500 0.500
Ag 0.169 0.506 0.156
Ac 0.359 0.141 0.141
Ag 0.831 0.844 0.494
Ac 0.641 0.859 0.859
! formation energy from the elements = -0.163 eV per atom
! DOS(E_F) = 5.409 states/eV per cell
! volume = 27.249 Å³ per atom
! offset from the most stable computed form = 100 kJ/mol of formula units
! E_tot = -28.8 eV/cell

***

Question: The highest E_tot belongs to which entry?
Answer: CaAc2Ag6

***

Repeat the first record exactly.
! TlTe2PbAu PBE-GGA relaxed; values from VASP
&SYSTEM
  ibrav = 0, nat = 10, ntyp = 4
/
ATOMIC_SPECIES
Pb 207.20 Pb.upf
Au 196.97 Au.upf
Tl 204.38 Tl.upf
Te 127.60 Te.upf
CELL_PARAMETERS angstrom
-2.659 3.021 3.645
2.781 -4.794 6.001
5.567 6.467 -1.300
ATOMIC_POSITIONS crystal
Pb 0.400 0.000 0.250
Au 0.000 0.000 0.500
Pb 0.600 0.000 0.750
Tl 0.803 0.500 0.250
Te 0.282 0.268 0.019
Te 0.282 0.732 0.481
Tl 0.197 0.500 0.750
Te 0.718 0.268 0.519
Au 0.000 0.000 0.000
Te 0.718 0.732 0.981
! formation energy (no corrections) = -24.3 kJ/mol of atoms
! volume = 36.133 Å³ per atom
! E_tot = -33.8 eV/cell